Ce2HoTmSe5: relaxed, GGA-PBE.

Cell: 5.0905 5.0905 10.7065 Å, 90.00 90.00 90.00°
Space group P4/mmm (No. 123)
One atom of each set of equivalent atoms:
Ce: 0.0000 0.0000 0.1995 x2
Ho: 0.5000 0.5000 0.5000 x1
Tm: 0.5000 0.5000 0.0000 x1
Se: 0.0000 0.0000 0.5000 x1
Se: 0.0000 0.5000 0.0000 x2
Se: 0.5000 0.5000 0.2549 x2

## Properties
**Volume**: 30.83 A^3/atom
**Calculated total energy**: -50.2 eV per cell
**Crystal system**: tetragonal
**DOS at the Fermi energy**: 19.376 states/eV/f.u.